Material: TePt
Method: DFT, GGA-PBE
State: relaxed

```
TePt
1.0
-1.415 -0.538 3.829
4.035 -0.295 -0.763
0.776 7.248 1.305
Te Pt
2 2
Direct
0.667 0.333 0.864
0.333 0.667 0.364
0.667 0.333 0.218
0.333 0.667 0.718
```

## Properties
Its total energy is -4.702 eV per atom. The value obtained for the uncorrected formation energy is -0.111 eV per atom. The density comes out at 9.86 Mg/m³.